Density functional theory data (PBE) for crystalline Al3Hg at its relaxed geometry.

Lattice parameters (Å, degrees): 5.279 5.279 5.279 134.08 134.08 66.97
Fractional coordinates of all 4 atoms:
Al 0.000 0.000 0.000
Al 0.250 0.750 0.500
Al 0.750 0.250 0.500
Hg 0.500 0.500 0.000

Symmetry: I4/mmm
Excess energy over the best structure of this formula in the dataset in eV/atom: 0.0000
Final energy in eV per atom: -2.711